[1]
Here is an optimized crystal structure of K2BaSb from the Alexandria database. Energies are from PBEsol.

As for the total magnetization: 0.00 μB per cell. The density of states at the Fermi level is 2.53 states/eV/cell. The final energy comes out at -10.5 eV per cell. The calculation puts the calculated density at 2.8 Mg/m³. The raw formation energy is -36.6 kJ per mole of atoms.

a = 4.550 Å, b = 4.550 Å, c = 9.725 Å
α = 90.00°, β = 90.00°, γ = 90.00°
Sites, in units of the cell vectors:
K1 0.500 0.500 0.319
K2 0.000 0.000 0.969
Ba1 0.500 0.500 0.668
Sb1 0.000 0.000 0.545

[2]
Here is an optimized crystal structure of K2BaSb from the Alexandria database. Energies are from PBEsol.

As for the total magnetization: 0.00 μB per cell. The density of states at the Fermi level is 2.06 states/eV/cell. The final energy comes out at -10.7 eV per cell. The calculation puts the calculated density at 2.5 Mg/m³. The raw formation energy is -42.2 kJ per mole of atoms.

a = 4.660 Å, b = 5.005 Å, c = 9.886 Å
α = 104.53°, β = 90.00°, γ = 90.00°
Sites, in units of the cell vectors:
Sb1 0.000 0.732 0.589
Ba1 0.500 0.262 0.648
K1 0.500 0.594 0.310
K2 0.000 0.912 0.953

[3]
Here is an optimized crystal structure of KBa2Sb from the Alexandria database. Energies are from PBEsol.

As for the total magnetization: 0.79 μB per cell. The density of states at the Fermi level is 5.40 states/eV/cell. The final energy comes out at -10.8 eV per cell. The calculation puts the calculated density at 4.6 Mg/m³. The raw formation energy is -19.8 kJ per mole of atoms.

a = 6.040 Å, b = 6.040 Å, c = 6.040 Å
α = 60.00°, β = 60.00°, γ = 60.00°
Site moments in Bohr magnetons follow the coordinates.
Sites, in units of the cell vectors:
Ba1 0.750 0.750 0.750  0.14
Ba2 0.000 0.000 0.000  0.11
Sb1 0.250 0.250 0.250  -0.01
K1 0.500 0.500 0.500  0.02

[4]
Here is an optimized crystal structure of K2BaSb from the Alexandria database. Energies are from PBEsol.

As for the total magnetization: 0.73 μB per cell. The density of states at the Fermi level is 4.28 states/eV/cell. The final energy comes out at -9.6 eV per cell. The calculation puts the calculated density at 3.2 Mg/m³. The raw formation energy is -14.3 kJ per mole of atoms.

a = 4.911 Å, b = 4.911 Å, c = 7.256 Å
α = 90.00°, β = 90.00°, γ = 90.00°
Site moments in Bohr magnetons follow the coordinates.
Sites, in units of the cell vectors:
Sb1 0.500 0.500 0.000  0.08
Ba1 0.500 0.500 0.500  0.08
K1 0.000 0.000 0.202  0.01
K2 0.000 0.000 0.798  0.01

[5]
Here is an optimized crystal structure of KBaSb4 from the Alexandria database. Energies are from PBEsol.

As for the total magnetization: 0.00 μB per cell. The density of states at the Fermi level is 4.00 states/eV/cell. The final energy comes out at -24.4 eV per cell. The calculation puts the calculated density at 5.8 Mg/m³. The raw formation energy is -45.7 kJ per mole of atoms.

a = 6.448 Å, b = 6.448 Å, c = 6.448 Å
α = 60.00°, β = 60.00°, γ = 60.00°
Sites, in units of the cell vectors:
Sb1 0.374 0.877 0.374
Sb2 0.374 0.374 0.374
Sb3 0.374 0.374 0.877
Sb4 0.877 0.374 0.374
K1 0.000 0.000 0.000
Ba1 0.750 0.750 0.750

[6]
Here is an optimized crystal structure of KBaSbSe3 from the Alexandria database. Energies are from PBEsol.

As for the total magnetization: 0.00 μB per cell. The density of states at the Fermi level is 0.00 states/eV/cell. The final energy comes out at -104.6 eV per cell. The calculation puts the calculated density at 4.7 Mg/m³. The raw formation energy is -108.6 kJ per mole of atoms.

a = 9.078 Å, b = 9.312 Å, c = 9.370 Å
α = 108.79°, β = 90.00°, γ = 90.00°
Sites, in units of the cell vectors:
Sb1 0.441 0.748 0.624
Sb2 0.059 0.748 0.124
Sb3 0.941 0.252 0.876
Sb4 0.559 0.252 0.376
Se1 0.700 0.628 0.582
Se2 0.608 0.270 0.113
Se3 0.892 0.270 0.613
Se4 0.983 0.037 0.225
Se5 0.200 0.372 0.918
Se6 0.800 0.628 0.082
Se7 0.017 0.963 0.775
Se8 0.300 0.372 0.418
Se9 0.483 0.963 0.275
Se10 0.517 0.037 0.725
Se11 0.392 0.730 0.887
Se12 0.108 0.730 0.387
K1 0.418 0.587 0.213
K2 0.918 0.413 0.287
K3 0.582 0.413 0.787
K4 0.082 0.587 0.713
Ba1 0.785 0.913 0.462
Ba2 0.285 0.087 0.038
Ba3 0.715 0.913 0.962
Ba4 0.215 0.087 0.538

[7]
Here is an optimized crystal structure of K2BaScW from the Alexandria database. Energies are from PBEsol.

As for the total magnetization: 0.99 μB per cell. The density of states at the Fermi level is 5.20 states/eV/cell. The value obtained for the energy relative to the elements is 1.315 eV per atom. The final energy comes out at -18.3 eV per cell. The calculation puts the calculated density at 3.6 Mg/m³.

a = 4.979 Å, b = 6.411 Å, c = 6.411 Å
α = 90.00°, β = 90.00°, γ = 90.00°
Site moments in Bohr magnetons follow the coordinates.
Sites, in units of the cell vectors:
Ba1 0.500 0.500 0.500  -0.10
Sc1 0.500 0.000 0.000  -0.10
K1 0.000 0.000 0.500  0.01
K2 0.000 0.500 0.000  0.01
W1 0.000 0.000 0.000  1.19

[8]
Here is an optimized crystal structure of K2BaSe from the Alexandria database. Energies are from PBEsol.

As for the total magnetization: 0.00 μB per cell. The density of states at the Fermi level is 2.31 states/eV/cell. The final energy comes out at -11.6 eV per cell. The calculation puts the calculated density at 2.5 Mg/m³. The raw formation energy is -79.6 kJ per mole of atoms.

a = 4.108 Å, b = 4.108 Å, c = 11.478 Å
α = 90.00°, β = 90.00°, γ = 90.00°
Sites, in units of the cell vectors:
K1 0.000 0.000 0.989
K2 0.500 0.500 0.340
Ba1 0.500 0.500 0.649
Se1 0.000 0.000 0.522

[9]
Here is an optimized crystal structure of KBa4Se from the Alexandria database. Energies are from PBEsol.

As for the total magnetization: 0.00 μB per cell. The density of states at the Fermi level is 7.81 states/eV/cell. The final energy comes out at -12.7 eV per cell. The calculation puts the calculated density at 3.7 Mg/m³. The raw formation energy is 13.7 kJ per mole of atoms.

a = 7.488 Å, b = 7.488 Å, c = 7.488 Å
α = 60.00°, β = 60.00°, γ = 60.00°
Sites, in units of the cell vectors:
Ba1 0.373 0.373 0.373
Ba2 0.373 0.373 0.880
Ba3 0.373 0.880 0.373
Ba4 0.880 0.373 0.373
Se1 0.000 0.000 0.000
K1 0.750 0.750 0.750

[10]
Here is an optimized crystal structure of KBa2Se2 from the Alexandria database. Energies are from PBEsol.

As for the total magnetization: 0.00 μB per cell. The density of states at the Fermi level is 2.34 states/eV/cell. The final energy comes out at -19.8 eV per cell. The calculation puts the calculated density at 2.6 Mg/m³. The raw formation energy is -127.9 kJ per mole of atoms.

a = 6.225 Å, b = 6.225 Å, c = 8.876 Å
α = 110.53°, β = 110.53°, γ = 90.00°
Sites, in units of the cell vectors:
Se1 0.794 0.794 0.588
Se2 0.206 0.206 0.412
Ba1 0.250 0.750 0.500
Ba2 0.750 0.250 0.500
K1 0.000 0.000 0.000

[11]
Here is an optimized crystal structure of K2BaSe from the Alexandria database. Energies are from PBEsol.

As for the total magnetization: 0.00 μB per cell. The density of states at the Fermi level is 1.78 states/eV/cell. The final energy comes out at -10.7 eV per cell. The calculation puts the calculated density at 3.0 Mg/m³. The raw formation energy is -58.0 kJ per mole of atoms.

a = 4.932 Å, b = 4.932 Å, c = 6.622 Å
α = 90.00°, β = 90.00°, γ = 90.00°
Sites, in units of the cell vectors:
Ba1 0.000 0.000 0.500
K1 0.000 0.500 0.000
K2 0.500 0.000 0.000
Se1 0.500 0.500 0.500

[12]
Here is an optimized crystal structure of K2BaSe from the Alexandria database. Energies are from PBEsol.

As for the total magnetization: 0.00 μB per cell. The density of states at the Fermi level is 3.16 states/eV/cell. The final energy comes out at -22.0 eV per cell. The calculation puts the calculated density at 2.3 Mg/m³. The raw formation energy is -65.8 kJ per mole of atoms.

a = 6.275 Å, b = 8.749 Å, c = 8.749 Å
α = 82.61°, β = 68.98°, γ = 68.98°
Sites, in units of the cell vectors:
Ba1 0.750 0.500 0.500
Ba2 0.000 0.000 0.000
K1 0.375 0.371 0.129
K2 0.496 0.129 0.629
K3 0.254 0.871 0.371
K4 0.875 0.629 0.871
Se1 0.250 0.500 0.500
Se2 0.500 0.000 0.000